Density functional theory data (PBE-GGA) for a geometry-optimized Ta7Nb3Mo2 structure.

Cell and atoms, written as extended XYZ:
```
12
Lattice="-1.123 2.667 -3.670 -3.777 -2.592 -0.728 -3.795 7.769 6.807" Properties=species:S:1:pos:R:3 pbc="T T T"
Ta 0.000 0.000 0.000
Ta -7.243 5.495 3.234
Ta -1.452 2.348 -0.825
Ta -4.796 5.461 5.436
Mo -5.908 3.281 4.192
Nb -4.225 2.058 -0.187
Nb -4.471 5.785 2.597
Ta -2.777 -0.285 0.643
Nb -2.450 0.037 -2.199
Ta -4.381 1.542 2.462
Ta -3.191 3.634 3.618
Mo -1.665 1.896 1.887
```

The volume comes out at 19.43 Å³/atom. The value obtained for the energy is -10.8254 eV per atom. The value obtained for the energy relative to the elements is 0.411 eV/atom.